No. 1
A relaxed structure of LiTbGdBe. Source: Alexandria via LeMat-Bulk, functional PBE.

The structure belongs to space group F-43m (No. 216); the cell edges are 7.0910, 7.0910 and 7.0910 Å and the angles 90.00°, 90.00° and 90.00°. Symmetry generates all atoms from Li at (0.0000, 0.0000, 0.0000), Tb at (0.2500, 0.2500, 0.7500), Gd at (0.2500, 0.2500, 0.2500) and Be at (0.0000, 0.0000, 0.5000).

The formation energy from the elements comes out at 0.13 eV per atom.

---

No. 2
A relaxed structure of K2CuBiF8. Source: Alexandria via LeMat-Bulk, functional PBE.

The structure belongs to space group P-1 (No. 2); the cell edges are 4.0653, 6.1753 and 8.2373 Å and the angles 82.02°, 87.86° and 86.59°. Symmetry generates all atoms from K at (0.0155, 0.0319, 0.2388), Cu at (0.5000, 0.5000, 0.0000), Bi at (0.5000, 0.5000, 0.5000), F at (0.0005, 0.6875, 0.5502), F at (0.1674, 0.6970, 0.0331), F at (0.4690, 0.2041, 0.6864) and F at (0.4754, 0.3727, 0.2132).

The value obtained for the uncorrected formation energy is -2573 kJ/mol of formula units.

---

| no. | E_tot (eV/atom) |
| --- | --- |
| 1 | -5.9542 |
| 2 | -4.3177 |